The following is a PBE calculation of crystalline BaZrAs2Se at its relaxed geometry, from the Alexandria database.

Summary:
For the relative energy among the computed polymorphs, the calculation gives 1925 meV/atom. The uncorrected formation energy is 1020 meV per atom.

a = 5.501 Å, b = 5.501 Å, c = 5.764 Å
α = 90.00°, β = 90.00°, γ = 90.00°
Each line ends with the local moment (μB).
Fractional coordinates of all 5 atoms:
As 0.000 0.500 0.000  -0.12
As 0.500 0.000 0.000  -0.12
Se 0.000 0.000 0.500  -0.16
Ba 0.000 0.000 0.000  -0.01
Zr 0.500 0.500 0.500  1.07